This record from Alexandria describes LiLaTbY after structural relaxation. The functional is GGA-PBE.

It has space group F-43m (No. 216), with a = 7.921 Å, b = 7.921 Å, c = 7.921 Å, α = 90.00°, β = 90.00° and γ = 90.00°. Symmetry generates all atoms from Li at (0.000, 0.000, 0.000), La at (0.250, 0.250, 0.250), Tb at (0.000, 0.000, 0.500) and Y at (0.250, 0.250, 0.750).

The calculation puts the formation energy at 0.17 eV per atom. Its density is 5.3 g/cm3.